Record 1
A relaxed structure of Sr2GeSb. Source: the Alexandria database, functional PBE.

N(E_F)	2.353	states/eV/cell
relative energy among the computed polymorphs	0.0000	eV per atom
ΔE_f (raw)	-625	meV/atom

The structure in CIF format:
```
data_Sr2GeSb
_chemical_formula_sum 'Sr2 Ge1 Sb1'
_symmetry_space_group_name_H-M 'P 4/m m m'
_symmetry_Int_Tables_number 123
_symmetry_space_group_name_Hall '-P 4 2'
_cell_length_a 5.227
_cell_length_b 5.227
_cell_length_c 4.476
_cell_angle_alpha 90.00
_cell_angle_beta 90.00
_cell_angle_gamma 90.00
loop_
_atom_site_label
_atom_site_fract_x
_atom_site_fract_y
_atom_site_fract_z
Sr1 0.000 0.500 0.000
Ge1 0.000 0.000 0.500
Sb1 0.500 0.500 0.500
```

***

Record 2
A relaxed structure of SrTi2GeSb. Source: the Alexandria database, functional PBE.

N(E_F)	4.433	states/eV/cell
ΔE_f (raw)	89	meV/atom

The structure in CIF format:
```
data_SrTi2GeSb
_chemical_formula_sum 'Sr1 Ti2 Ge1 Sb1'
_symmetry_space_group_name_H-M 'P 4/m m m'
_symmetry_Int_Tables_number 123
_symmetry_space_group_name_Hall '-P 4 2'
_cell_length_a 4.910
_cell_length_b 4.910
_cell_length_c 5.695
_cell_angle_alpha 90.00
_cell_angle_beta 90.00
_cell_angle_gamma 90.00
loop_
_atom_site_label
_atom_site_fract_x
_atom_site_fract_y
_atom_site_fract_z
Sr1 0.000 0.000 0.000
Ti1 0.000 0.500 0.500
Ge1 0.000 0.000 0.500
Sb1 0.500 0.500 0.000
```

***

Record 3
A relaxed structure of SrZnGeSb2. Source: the Alexandria database, functional PBE.

N(E_F)	2.581	states/eV/cell
ΔE_f (raw)	203	meV/atom

The structure in CIF format:
```
data_SrZnGeSb2
_chemical_formula_sum 'Sr1 Zn1 Ge1 Sb2'
_symmetry_space_group_name_H-M 'P 4/m m m'
_symmetry_Int_Tables_number 123
_symmetry_space_group_name_Hall '-P 4 2'
_cell_length_a 5.398
_cell_length_b 5.398
_cell_length_c 5.896
_cell_angle_alpha 90.00
_cell_angle_beta 90.00
_cell_angle_gamma 90.00
loop_
_atom_site_label
_atom_site_fract_x
_atom_site_fract_y
_atom_site_fract_z
Sr1 0.000 0.000 0.000
Zn1 0.500 0.500 0.000
Ge1 0.000 0.000 0.500
Sb1 0.000 0.500 0.500
```

***

Record 4
A relaxed structure of Ta2Ge2Sb. Source: the Alexandria database, functional PBE.

N(E_F)	4.858	states/eV/cell
relative energy among the computed polymorphs	0.1966	eV per atom
ΔE_f (raw)	213	meV/atom

The structure in CIF format:
```
data_Ta2Ge2Sb
_chemical_formula_sum 'Ta4 Ge4 Sb2'
_symmetry_space_group_name_H-M 'P 4/m b m'
_symmetry_Int_Tables_number 127
_symmetry_space_group_name_Hall '-P 4 2ab'
_cell_length_a 7.334
_cell_length_b 7.334
_cell_length_c 3.423
_cell_angle_alpha 90.00
_cell_angle_beta 90.00
_cell_angle_gamma 90.00
loop_
_atom_site_label
_atom_site_fract_x
_atom_site_fract_y
_atom_site_fract_z
Ta1 0.163 0.337 0.000
Ge1 0.130 0.630 0.500
Sb1 0.000 0.000 0.500
```

***

Record 5
A relaxed structure of Ta2Ge2Sb. Source: the Alexandria database, functional PBE.

N(E_F)	4.870	states/eV/cell
relative energy among the computed polymorphs	0.0000	eV per atom
ΔE_f (raw)	16	meV/atom

The structure in CIF format:
```
data_Ta2Ge2Sb
_chemical_formula_sum 'Ta4 Ge4 Sb2'
_symmetry_space_group_name_H-M 'P 4/m b m'
_symmetry_Int_Tables_number 127
_symmetry_space_group_name_Hall '-P 4 2ab'
_cell_length_a 7.383
_cell_length_b 7.383
_cell_length_c 3.468
_cell_angle_alpha 90.00
_cell_angle_beta 90.00
_cell_angle_gamma 90.00
loop_
_atom_site_label
_atom_site_fract_x
_atom_site_fract_y
_atom_site_fract_z
Ta1 0.149 0.351 0.000
Ge1 0.140 0.640 0.500
Sb1 0.000 0.000 0.000
```

***

Record 6
A relaxed structure of Ta2Ge2Sb. Source: the Alexandria database, functional PBE.

N(E_F)	10.406	states/eV/cell
relative energy among the computed polymorphs	0.2432	eV per atom
ΔE_f (raw)	260	meV/atom

The structure in CIF format:
```
data_Ta2Ge2Sb
_chemical_formula_sum 'Ta4 Ge4 Sb2'
_symmetry_space_group_name_H-M 'I 4/m m m'
_symmetry_Int_Tables_number 139
_symmetry_space_group_name_Hall '-I 4 2'
_cell_length_a 4.826
_cell_length_b 4.826
_cell_length_c 8.750
_cell_angle_alpha 90.00
_cell_angle_beta 90.00
_cell_angle_gamma 90.00
loop_
_atom_site_label
_atom_site_fract_x
_atom_site_fract_y
_atom_site_fract_z
Ta1 0.000 0.500 0.250
Ge1 0.000 0.000 0.135
Sb1 0.000 0.000 0.500
```

***

Record 7
A relaxed structure of TaGeSb. Source: the Alexandria database, functional PBE.

N(E_F)	8.405	states/eV/cell
ΔE_f (raw)	88	meV/atom

The structure in CIF format:
```
data_TaGeSb
_chemical_formula_sum 'Ta4 Ge4 Sb4'
_symmetry_space_group_name_H-M 'C 1 2/m 1'
_symmetry_Int_Tables_number 12
_symmetry_space_group_name_Hall '-C 2y'
_cell_length_a 5.985
_cell_length_b 7.300
_cell_length_c 6.708
_cell_angle_alpha 90.00
_cell_angle_beta 116.50
_cell_angle_gamma 90.00
loop_
_atom_site_label
_atom_site_fract_x
_atom_site_fract_y
_atom_site_fract_z
Ta1 0.250 0.250 0.000
Ge1 0.121 0.000 0.243
Sb1 0.147 0.500 0.294
```

***

Record 8
A relaxed structure of Ta2GeSb. Source: the Alexandria database, functional PBE.

N(E_F)	12.869	states/eV/cell
relative energy among the computed polymorphs	0.0000	eV per atom
ΔE_f (raw)	135	meV/atom

The structure in CIF format:
```
data_Ta2GeSb
_chemical_formula_sum 'Ta8 Ge4 Sb4'
_symmetry_space_group_name_H-M 'F m -3 m'
_symmetry_Int_Tables_number 225
_symmetry_space_group_name_Hall '-F 4 2 3'
_cell_length_a 6.650
_cell_length_b 6.650
_cell_length_c 6.650
_cell_angle_alpha 90.00
_cell_angle_beta 90.00
_cell_angle_gamma 90.00
loop_
_atom_site_label
_atom_site_fract_x
_atom_site_fract_y
_atom_site_fract_z
Ta1 0.250 0.250 0.250
Ge1 0.000 0.000 0.000
Sb1 0.000 0.000 0.500
```

***

Ρ (computed, g cm⁻³): 5.02 4.57 4.53 11.34 11.05 10.25 9.50 12.56